Record 1
VASP calculation (PBE-GGA) on a geometry-optimized CeSeO structure.

Geometry as CIF:
```
data_CeSeO
_chemical_formula_sum 'Ce4 Se4 O4'
_symmetry_space_group_name_H-M 'I 4/m m m'
_symmetry_Int_Tables_number 139
_symmetry_space_group_name_Hall '-I 4 2'
_cell_length_a 4.215
_cell_length_b 4.215
_cell_length_c 13.528
_cell_angle_alpha 90.00
_cell_angle_beta 90.00
_cell_angle_gamma 90.00
loop_
_atom_site_label
_atom_site_type_symbol
_atom_site_fract_x
_atom_site_fract_y
_atom_site_fract_z
Ce1 Ce 0.000 0.000 0.164
Se1 Se 0.000 0.500 0.000
O1 O 0.000 0.500 0.250
```

Values from the calculation:
- density (g/cm3) = 6.5
- final energy (eV per atom) = -7.221
- DOS at the Fermi energy (states/eV/cell) = 21.154

***

Record 2
VASP calculation (PBE-GGA) on a geometry-optimized CeSe2O8 structure.

Geometry as CIF:
```
data_CeSe2O8
_chemical_formula_sum 'Ce8 Se16 O64'
_symmetry_space_group_name_H-M 'P b c a'
_symmetry_Int_Tables_number 61
_cell_length_a 9.422
_cell_length_b 14.097
_cell_length_c 9.973
_cell_angle_alpha 90.00
_cell_angle_beta 90.00
_cell_angle_gamma 90.00
loop_
_symmetry_equiv_pos_as_xyz
'x,y,z'
'-x,-y,-z'
'-x+1/2,-y,z+1/2'
'x+1/2,y,-z+1/2'
'x+1/2,-y+1/2,-z'
'-x+1/2,y+1/2,z'
'-x,y+1/2,-z+1/2'
'x,-y+1/2,z+1/2'
loop_
_atom_site_label
_atom_site_type_symbol
_atom_site_fract_x
_atom_site_fract_y
_atom_site_fract_z
Ce1 Ce 0.220 0.102 0.036
Se1 Se 0.001 0.058 0.724
Se2 Se 0.182 0.655 0.393
O1 O 0.006 0.661 0.414
O2 O 0.080 0.531 0.143
O3 O 0.086 0.626 0.885
O4 O 0.111 0.124 0.814
O5 O 0.117 0.511 0.667
O6 O 0.229 0.684 0.237
O7 O 0.239 0.230 0.498
O8 O 0.239 0.545 0.423
```

Values from the calculation:
- density (g/cm3) = 4.3
- final energy (eV per atom) = -6.116

***

Record 3
VASP calculation (PBE-GGA) on a geometry-optimized Ce2SeO2 structure.

Geometry as CIF:
```
data_Ce2SeO2
_chemical_formula_sum 'Ce4 Se2 O4'
_symmetry_space_group_name_H-M 'P 1 21/m 1'
_symmetry_Int_Tables_number 11
_cell_length_a 4.455
_cell_length_b 4.447
_cell_length_c 9.080
_cell_angle_alpha 90.00
_cell_angle_beta 90.17
_cell_angle_gamma 90.00
loop_
_symmetry_equiv_pos_as_xyz
'x,y,z'
'-x,-y,-z'
'-x,y+1/2,-z'
'x,-y+1/2,z'
loop_
_atom_site_label
_atom_site_type_symbol
_atom_site_fract_x
_atom_site_fract_y
_atom_site_fract_z
Ce1 Ce 0.248 0.250 0.110
Ce2 Ce 0.250 0.750 0.500
Se1 Se 0.251 0.250 0.737
O1 O 0.246 0.750 0.000
O2 O 0.249 0.250 0.391
```

Values from the calculation:
- density (g/cm3) = 7.2
- final energy (eV per atom) = -7.770
- DOS at the Fermi energy (states/eV/cell) = 22.823